Material: La2ReNi
Method: DFT, GGA-PBE
State: optimized geometry

For the energy above the lowest structure with this stoichiometry, the calculation gives 147 meV per atom. Its crystal system is tetragonal. Its energy of formation from the pure elements is 201 meV/atom.

It has space group P4mm (No. 99), with a = 3.432 Å, b = 3.432 Å, c = 8.288 Å, α = 90.00°, β = 90.00° and γ = 90.00°. Symmetry generates all atoms from La at (0.000, 0.000, 0.000), La at (0.500, 0.500, 0.427), Re at (0.500, 0.500, 0.749) and Ni at (0.000, 0.000, 0.650).

=====

Material: ScNbSb2Te
Method: DFT, GGA-PBE
State: optimized geometry

The calculation puts the uncorrected formation energy at 0.314 eV per atom. For the energy above the lowest structure with this stoichiometry, the calculation gives 0 meV per atom. Its crystal system is tetragonal.

It has space group P4/mmm (No. 123), with a = 5.341 Å, b = 5.341 Å, c = 5.433 Å, α = 90.00°, β = 90.00° and γ = 90.00°. Symmetry generates all atoms from Sc at (0.000, 0.000, 0.000), Nb at (0.500, 0.500, 0.500), Sb at (0.000, 0.500, 0.500) and Te at (0.500, 0.500, 0.000).

=====

Material: BaS2N2
Method: DFT, GGA-PBE
State: optimized geometry

The calculation puts the uncorrected formation energy at 1.920 eV per atom. For the energy above the lowest structure with this stoichiometry, the calculation gives 2042 meV per atom. Its crystal system is tetragonal.

It has space group P4/mmm (No. 123), with a = 5.391 Å, b = 5.391 Å, c = 6.248 Å, α = 90.00°, β = 90.00° and γ = 90.00°. Symmetry generates all atoms from Ba at (0.000, 0.000, 0.000), S at (0.000, 0.000, 0.500), S at (0.500, 0.500, 0.500) and N at (0.000, 0.500, 0.000).

=====

Material: Tb3RuI3
Method: DFT, GGA-PBE
State: optimized geometry

The calculation puts the uncorrected formation energy at -1.003 eV per atom. Its crystal system is monoclinic.

It has space group P2_1/m (No. 11), with a = 8.912 Å, b = 4.253 Å, c = 12.353 Å, α = 90.00°, β = 93.61° and γ = 90.00°. Symmetry generates all atoms from Tb at (0.098, 0.250, 0.315), Tb at (0.132, 0.250, 0.875), Tb at (0.261, 0.750, 0.102), Ru at (0.055, 0.250, 0.093), I at (0.142, 0.250, 0.607), I at (0.351, 0.750, 0.362) and I at (0.427, 0.750, 0.867).

=====

Material: CuAu2Se
Method: DFT, GGA-PBE
State: optimized geometry

The calculation puts the uncorrected formation energy at 0.214 eV per atom. Its crystal system is monoclinic.

It has space group C2/m (No. 12), with a = 5.609 Å, b = 10.152 Å, c = 2.846 Å, α = 90.00°, β = 118.20° and γ = 90.00°. Symmetry generates all atoms from Cu at (0.000, 0.000, 0.000), Au at (0.250, 0.250, 0.000) and Se at (0.000, 0.500, 0.000).

=====

Material: Rb3La3HfS8
Method: DFT, GGA-PBE
State: optimized geometry

The calculation puts the uncorrected formation energy at -1.836 eV per atom. Its crystal system is trigonal.

It has space group R-3m (No. 166, hexagonal axes), with a = 8.3587 Å, b = 8.3587 Å, c = 23.4389 Å, α = 90.00°, β = 90.00° and γ = 120.00°. Symmetry generates all atoms from Rb at (0.0000, 0.5000, 0.0000), La at (0.0000, 0.5000, 0.5000), Hf at (0.0000, 0.0000, 0.5000), S at (0.0000, 0.0000, 0.2330) and S at (0.0326, 0.5163, 0.2276).

=====

Number 1: total moment 0.00 μB/atom. Number 2: total moment 0.09 μB/atom. Number 3: total moment 1.60 μB/atom. Number 4: total moment 0.00 μB/atom. Number 5: total moment 0.00 μB/atom. Number 6: total moment 0.00 μB/atom.